Computed, not measured: a relaxed structure of SiAgAsSe2 at the PBE-GGA level of DFT.

abc: 4.890 4.890 4.783
angles: 90.00 90.00 90.00
Element x y z (fractional)
As (0.000, 0.000, 0.500)
Si (0.000, 0.000, 0.000)
Se (0.000, 0.500, 0.000)
Se (0.500, 0.000, 0.000)
Ag (0.500, 0.500, 0.500)

For the formation energy (no corrections), the calculation gives 505 meV/atom.

Computed, not measured: a relaxed structure of SmAg2AsSe4 at the PBE-GGA level of DFT.

abc: 8.144 8.144 8.313
angles: 120.69 120.69 90.31
Element x y z (fractional)
Sm (0.000, 0.500, 0.000)
Sm (0.000, 0.500, 0.500)
Ag (0.500, 0.000, 0.000)
Ag (0.500, 0.000, 0.500)
Ag (0.000, 0.000, 0.500)
Ag (0.500, 0.500, 0.000)
As (0.500, 0.500, 0.500)
As (0.000, 0.000, 0.000)
Se (0.246, 0.766, 0.006)
Se (0.734, 0.254, 0.494)
Se (0.266, 0.746, 0.506)
Se (0.754, 0.234, 0.994)
Se (0.747, 0.753, 0.986)
Se (0.747, 0.753, 0.514)
Se (0.253, 0.247, 0.486)
Se (0.253, 0.247, 0.014)

For the formation energy (no corrections), the calculation gives -585 meV/atom.

Computed, not measured: a relaxed structure of AgSnAsSe2 at the PBE-GGA level of DFT.

abc: 5.195 5.195 4.882
angles: 90.00 90.00 90.00
Element x y z (fractional)
As (0.000, 0.000, 0.500)
Se (0.000, 0.500, 0.000)
Se (0.500, 0.000, 0.000)
Sn (0.500, 0.500, 0.500)
Ag (0.000, 0.000, 0.000)

For the formation energy (no corrections), the calculation gives 481 meV/atom.